(1)
## CdSbTe2S (PBE)

Data for a relaxed structure of CdSbTe2S.

Summary:
For the relative energy among the computed polymorphs, the calculation gives 0.0 meV/atom.

a = 5.280 Å, b = 5.280 Å, c = 5.313 Å
α = 90.00°, β = 90.00°, γ = 90.00°
Element x y z (fractional)
Sb  0.000  0.000  0.500
S  0.000  0.000  0.000
Te  0.000  0.500  0.000
Te  0.500  0.000  0.000
Cd  0.500  0.500  0.500



(2)
## Si23He3 (PBE)

Data for a relaxed structure of Si23He3.

Summary:
The raw total energy is -0.174 hartree per atom.

a = 10.241 Å, b = 10.241 Å, c = 10.241 Å
α = 90.00°, β = 90.00°, γ = 90.00°
Element x y z (fractional)
Si  0.250  0.000  0.500
Si  0.750  0.000  0.500
Si  0.000  0.500  0.250
Si  0.000  0.500  0.750
Si  0.500  0.250  0.000
Si  0.500  0.750  0.000
Si  0.684  0.684  0.684
Si  0.684  0.316  0.316
Si  0.316  0.684  0.316
Si  0.316  0.316  0.684
Si  0.816  0.816  0.816
Si  0.816  0.184  0.184
Si  0.184  0.816  0.184
Si  0.184  0.184  0.816
Si  0.316  0.316  0.316
Si  0.316  0.684  0.684
Si  0.684  0.316  0.684
Si  0.684  0.684  0.316
Si  0.184  0.184  0.184
Si  0.184  0.816  0.816
Si  0.816  0.184  0.816
Si  0.816  0.816  0.184
Si  0.000  0.692  0.883
Si  0.000  0.308  0.117
Si  0.000  0.692  0.117
Si  0.000  0.308  0.883
Si  0.692  0.883  0.000
Si  0.692  0.117  0.000
Si  0.308  0.883  0.000
Si  0.308  0.117  0.000
Si  0.883  0.000  0.692
Si  0.883  0.000  0.308
Si  0.117  0.000  0.308
Si  0.117  0.000  0.692
Si  0.808  0.500  0.617
Si  0.808  0.500  0.383
Si  0.192  0.500  0.383
Si  0.192  0.500  0.617
Si  0.500  0.617  0.808
Si  0.500  0.383  0.192
Si  0.500  0.617  0.192
Si  0.500  0.383  0.808
Si  0.617  0.808  0.500
Si  0.617  0.192  0.500
Si  0.383  0.808  0.500
Si  0.383  0.192  0.500
He  0.250  0.500  0.000
He  0.750  0.500  0.000
He  0.500  0.000  0.250
He  0.500  0.000  0.750
He  0.000  0.250  0.500
He  0.000  0.750  0.500



(3)
## TeSe3I (PBE)

Data for a relaxed structure of TeSe3I.

Summary:
For the relative energy among the computed polymorphs, the calculation gives 0.0 meV/atom.

a = 5.404 Å, b = 5.404 Å, c = 5.404 Å
α = 90.00°, β = 90.00°, γ = 90.00°
Element x y z (fractional)
I  0.500  0.500  0.500
Te  0.000  0.000  0.000
Se  0.000  0.500  0.000
Se  0.000  0.000  0.500
Se  0.500  0.000  0.000



(4)
## Li2HRh (PBE)

Data for a relaxed structure of Li2HRh.

Summary:
For the relative energy among the computed polymorphs, the calculation gives 711.8 meV/atom.

a = 3.998 Å, b = 3.998 Å, c = 3.998 Å
α = 60.00°, β = 60.00°, γ = 60.00°
Element x y z (fractional)
H  0.000  0.000  0.000
Rh  0.500  0.500  0.500
Li  0.250  0.250  0.250
Li  0.750  0.750  0.750



(5)
## CrCd2Ru (PBE)

Data for a relaxed structure of CrCd2Ru.

Summary:
For the relative energy among the computed polymorphs, the calculation gives 202.9 meV/atom.

a = 5.088 Å, b = 5.088 Å, c = 4.970 Å
α = 75.17°, β = 75.17°, γ = 34.01°
Element x y z (fractional)
Cd  0.989  0.989  0.006
Cd  0.760  0.760  0.746
Cr  0.523  0.523  0.471
Ru  0.227  0.227  0.277



(6)
## LiTl2 (PBE)

Data for a relaxed structure of LiTl2.

Summary:
For the relative energy among the computed polymorphs, the calculation gives 41.0 meV/atom.

a = 7.613 Å, b = 7.613 Å, c = 4.480 Å
α = 90.00°, β = 90.00°, γ = 120.00°
Element x y z (fractional)
Li  0.333  0.667  0.000
Li  0.667  0.333  0.000
Li  0.000  0.000  0.500
Tl  0.255  0.000  0.000
Tl  0.000  0.255  0.000
Tl  0.745  0.745  0.000
Tl  0.583  0.000  0.500
Tl  0.000  0.583  0.500
Tl  0.417  0.417  0.500



(7)
## SmScAu (PBE)

Data for a relaxed structure of SmScAu.

Summary:
For the relative energy among the computed polymorphs, the calculation gives 209.3 meV/atom.

a = 4.726 Å, b = 4.726 Å, c = 8.961 Å
α = 74.71°, β = 74.71°, γ = 60.00°
Element x y z (fractional)
Sm  0.121  0.121  0.636
Sm  0.879  0.879  0.364
Sc  0.630  0.630  0.110
Sc  0.370  0.370  0.890
Au  0.739  0.739  0.782
Au  0.261  0.261  0.218



(8)
## Zr5Re (PBE)

Data for a relaxed structure of Zr5Re.

Summary:
For the relative energy among the computed polymorphs, the calculation gives 86.7 meV/atom.

a = 7.730 Å, b = 7.730 Å, c = 5.059 Å
α = 90.00°, β = 90.00°, γ = 155.05°
Element x y z (fractional)
Zr  0.194  0.806  0.500
Zr  0.379  0.621  0.000
Zr  0.528  0.472  0.500
Zr  0.677  0.323  0.000
Zr  0.862  0.138  0.500
Re  0.028  0.972  0.000



(9)
## CrCuTe3 (PBE)

Data for a relaxed structure of CrCuTe3.

Summary:
For the relative energy among the computed polymorphs, the calculation gives 0.0 meV/atom.

a = 3.919 Å, b = 6.251 Å, c = 5.512 Å
α = 71.97°, β = 90.40°, γ = 90.16°
Element x y z (fractional)
Cr  0.514  0.205  0.693
Cu  0.011  0.892  0.136
Te  0.514  0.138  0.216
Te  0.014  0.509  0.560
Te  0.506  0.756  0.904



(10)
## AlSnAs2 (PBE)

Data for a relaxed structure of AlSnAs2.

Summary:
For the relative energy among the computed polymorphs, the calculation gives 360.0 meV/atom.

a = 4.901 Å, b = 4.901 Å, c = 4.901 Å
α = 60.00°, β = 60.00°, γ = 60.00°
Element x y z (fractional)
As  0.250  0.250  0.250
As  0.750  0.750  0.750
Sn  0.500  0.500  0.500
Al  0.000  0.000  0.000



(11)
## Hf2Al2Ru3 (PBE)

Data for a relaxed structure of Hf2Al2Ru3.

Summary:
The raw total energy is -0.311 hartree per atom.

a = 7.358 Å, b = 7.358 Å, c = 7.358 Å
α = 35.42°, β = 35.42°, γ = 35.42°
Element x y z (fractional)
Hf  0.383  0.383  0.383
Hf  0.617  0.617  0.617
Al  0.128  0.128  0.128
Al  0.872  0.872  0.872
Ru  0.000  0.000  0.000
Ru  0.249  0.249  0.249
Ru  0.751  0.751  0.751



(12)
## Li4Tl2In (PBE)

Data for a relaxed structure of Li4Tl2In.

Summary:
For the relative energy among the computed polymorphs, the calculation gives 0.0 meV/atom.

a = 4.825 Å, b = 4.825 Å, c = 8.009 Å
α = 72.47°, β = 72.47°, γ = 60.00°
Element x y z (fractional)
Li  0.872  0.872  0.385
Li  0.128  0.128  0.615
Li  0.615  0.615  0.155
Li  0.385  0.385  0.845
Tl  0.747  0.747  0.760
Tl  0.253  0.253  0.240
In  0.000  0.000  0.000



| no. | spin magnetization (μB/cell) |
| --- | --- |
| 1 | 0.0 |
| 2 | 0.0 |
| 3 | 0.0 |
| 4 | 0.0 |
| 5 | 2.5 |
| 6 | 0.0 |
| 7 | 0.0 |
| 8 | 0.0 |
| 9 | 3.1 |
| 10 | 0.0 |
| 11 | 0.0 |
| 12 | 0.0 |